VASP calculation (GGA-PBE) on Ca5Ge3H after structural relaxation.

The structure in CIF format:
```
data_Ca5Ge3H
_chemical_formula_sum 'Ca20 Ge12 H4'
_symmetry_space_group_name_H-M 'I 4/m c m'
_symmetry_Int_Tables_number 140
_symmetry_space_group_name_Hall '-I 4 2c'
_cell_length_a 7.748
_cell_length_b 7.748
_cell_length_c 14.511
_cell_angle_alpha 90.00
_cell_angle_beta 90.00
_cell_angle_gamma 90.00
loop_
_atom_site_label
_atom_site_fract_x
_atom_site_fract_y
_atom_site_fract_z
Ca1 0.000 0.000 0.000
Ca2 0.166 0.334 0.150
Ge1 0.000 0.000 0.250
Ge2 0.117 0.383 0.500
H1 0.000 0.500 0.250
```

Output
Electronic total energy   -3.663 eV per atom

***

VASP calculation (GGA-PBE) on K2In15Bi2 after structural relaxation.

The structure in CIF format:
```
data_K2In15Bi2
_chemical_formula_sum 'K6 In45 Bi6'
_symmetry_space_group_name_H-M 'R -3 m'
_symmetry_Int_Tables_number 166
_symmetry_space_group_name_Hall '-R 3 2"'
_cell_length_a 11.0141
_cell_length_b 11.0141
_cell_length_c 16.5034
_cell_angle_alpha 90.00
_cell_angle_beta 90.00
_cell_angle_gamma 120.00
loop_
_atom_site_label
_atom_site_fract_x
_atom_site_fract_y
_atom_site_fract_z
K1 0.0000 0.0000 0.1540
In1 0.0000 0.2907 0.5000
In2 0.0000 0.5000 0.0000
In3 0.0073 0.5037 0.6430
Bi1 0.0000 0.0000 0.3829
```

Output
ΔE_f   -0.02 eV per atom

***

VASP calculation (GGA-PBE) on Sr3Nd2PuN6 after structural relaxation.

The structure in CIF format:
```
data_Sr3Nd2PuN6
_chemical_formula_sum 'Sr6 Nd4 Pu2 N12'
_symmetry_space_group_name_H-M 'C 1 2/m 1'
_symmetry_Int_Tables_number 12
_cell_length_a 6.288
_cell_length_b 10.893
_cell_length_c 6.389
_cell_angle_alpha 90.00
_cell_angle_beta 109.26
_cell_angle_gamma 90.00
loop_
_symmetry_equiv_pos_as_xyz
'x,y,z'
'-x,-y,-z'
'-x,y,-z'
'x,-y,z'
'x+1/2,y+1/2,z'
'-x+1/2,-y+1/2,-z'
'-x+1/2,y+1/2,-z'
'x+1/2,-y+1/2,z'
loop_
_atom_site_label
_atom_site_fract_x
_atom_site_fract_y
_atom_site_fract_z
Sr1 0.000 0.000 0.000
Sr2 0.000 0.335 0.000
Nd1 0.000 0.167 0.500
Pu1 0.000 0.500 0.500
N1 0.219 0.351 0.709
N2 0.226 0.500 0.296
```

Output
Raw formation energy   -1.033 eV/atom

***

VASP calculation (GGA-PBE) on Np2Cl8F after structural relaxation.

The structure in CIF format:
```
data_Np2Cl8F
_chemical_formula_sum 'Np4 Cl16 F2'
_symmetry_space_group_name_H-M 'C 1 2/m 1'
_symmetry_Int_Tables_number 12
_cell_length_a 12.563
_cell_length_b 8.303
_cell_length_c 8.352
_cell_angle_alpha 90.00
_cell_angle_beta 107.08
_cell_angle_gamma 90.00
loop_
_symmetry_equiv_pos_as_xyz
'x,y,z'
'-x,-y,-z'
'-x,y,-z'
'x,-y,z'
'x+1/2,y+1/2,z'
'-x+1/2,-y+1/2,-z'
'-x+1/2,y+1/2,-z'
'x+1/2,-y+1/2,z'
loop_
_atom_site_label
_atom_site_fract_x
_atom_site_fract_y
_atom_site_fract_z
Np1 0.182 0.000 0.001
Cl1 0.124 0.000 0.692
Cl2 0.132 0.314 0.998
Cl3 0.242 0.000 0.310
F1 0.000 0.000 0.000
```

Output
Raw formation energy   -1.727 eV/atom